AcCe2DySb4 | PBE | optimized geometry

```
8
Lattice="7.884 0.000 0.000 0.000 4.555 0.000 -2.627 0.000 7.443" Properties=species:S:1:pos:R:3 pbc="T T T"
Ac 0.000 0.000 0.000
Ce 2.629 0.000 3.721
Ce 3.942 2.277 0.000
Dy -1.313 2.277 3.721
Sb 0.040 0.000 5.502
Sb 1.354 2.277 1.973
Sb 3.903 2.277 5.469
Sb 5.217 0.000 1.941
```

## Properties
Energy (eV per atom): -5.715
Formation energy without anion corrections (eV/atom): -1.08
Space-group type: No. 10

AcCeDy2Se4 | PBE | optimized geometry

```
8
Lattice="7.213 0.000 0.000 0.000 4.139 0.000 -2.378 0.000 7.068" Properties=species:S:1:pos:R:3 pbc="T T T"
Ac 0.000 0.000 0.000
Ce 3.607 2.070 0.000
Dy -1.189 2.070 3.534
Dy 2.418 0.000 3.534
Se 0.064 0.000 5.170
Se 1.254 2.070 1.937
Se 3.581 2.070 5.131
Se 4.772 0.000 1.898
```

## Properties
Energy (eV per atom): -5.934
Formation energy without anion corrections (eV/atom): -1.79
Space-group type: No. 10

Ac2CeDySe4 | PBE | optimized geometry

```
8
Lattice="7.402 0.000 0.000 0.000 4.243 0.000 -2.433 0.000 7.181" Properties=species:S:1:pos:R:3 pbc="T T T"
Ac 0.000 0.000 0.000
Ac 3.701 2.121 0.000
Ce -1.217 2.121 3.590
Dy 2.484 0.000 3.590
Se 0.068 0.000 5.229
Se 1.286 2.121 1.980
Se 3.683 2.121 5.201
Se 4.901 0.000 1.952
```

## Properties
Energy (eV per atom): -5.898
Formation energy without anion corrections (eV/atom): -1.81
Space-group type: No. 10

Ac2CeDySe6 | PBE | optimized geometry

```
10
Lattice="3.822 2.207 6.610 -3.822 2.207 6.610 0.000 -4.413 6.610" Properties=species:S:1:pos:R:3 pbc="T T T"
Ac 0.000 0.000 0.000
Ac 0.000 0.000 9.893
Ce 0.000 0.000 5.757
Dy 0.000 0.000 15.701
Se -1.364 -1.841 7.693
Se -2.889 -0.194 10.964
Se -0.913 2.102 7.693
Se 1.613 -2.405 10.964
Se 2.277 -0.260 7.693
Se 1.277 2.599 10.964
```

## Properties
Energy (eV per atom): -5.857
Formation energy without anion corrections (eV/atom): -1.89
Space-group type: No. 146

Ac3Ce2DySe6 | PBE | optimized geometry

```
12
Lattice="3.712 -6.438 0.000 3.712 6.438 0.000 -2.485 0.000 7.135" Properties=species:S:1:pos:R:3 pbc="T T T"
Ac 0.000 0.000 0.000
Ac 3.712 2.175 0.000
Ac 3.712 -2.175 0.000
Ce 2.469 4.300 3.567
Ce 2.469 -4.300 3.567
Dy 2.469 0.000 3.567
Se 1.262 2.103 1.942
Se 0.045 0.000 5.215
Se 1.262 -2.103 1.942
Se 3.677 2.103 5.193
Se 4.893 0.000 1.920
Se 3.677 -2.103 5.193
```

## Properties
Energy (eV per atom): -5.959
Formation energy without anion corrections (eV/atom): -1.82
Space-group type: No. 12

AcCe3Dy2Se6 | PBE | optimized geometry

```
12
Lattice="3.640 -6.311 0.000 3.640 6.311 0.000 -2.444 0.000 6.895" Properties=species:S:1:pos:R:3 pbc="T T T"
Ac 0.000 0.000 0.000
Ce 2.418 4.297 3.448
Ce 2.418 0.000 3.448
Ce 2.418 -4.297 3.448
Dy 3.640 2.119 0.000
Dy 3.640 -2.119 0.000
Se 1.271 2.207 1.719
Se 0.113 0.000 5.231
Se 1.271 -2.207 1.719
Se 3.565 2.207 5.176
Se 4.723 0.000 1.664
Se 3.565 -2.207 5.176
```

## Properties
Energy (eV per atom): -6.125
Formation energy without anion corrections (eV/atom): -1.79
Space-group type: No. 12

Ac4Ce3DySe8 | PBE | optimized geometry

```
16
Lattice="4.311 2.489 7.117 -4.311 2.489 7.117 0.000 -4.978 7.117" Properties=species:S:1:pos:R:3 pbc="T T T"
Ac 0.000 0.000 0.000
Ac -2.155 -1.244 7.117
Ac -2.155 1.244 14.234
Ac 0.000 2.489 7.117
Ce -4.311 0.000 10.675
Ce -2.155 1.244 3.558
Ce 2.155 1.244 3.558
Dy 0.000 0.000 10.675
Se 0.000 0.000 5.221
Se -2.115 -1.221 12.304
Se 0.000 -2.442 9.047
Se -2.115 1.221 9.047
Se 2.115 -1.221 12.304
Se 0.000 2.442 12.304
Se 2.115 1.221 9.047
Se 0.000 0.000 16.130
```

## Properties
Energy (eV per atom): -6.006
Formation energy without anion corrections (eV/atom): -1.84
Space-group type: No. 166

AcCeSmDy | PBE | optimized geometry

```
16
Lattice="8.292 0.000 0.000 0.000 8.292 0.000 0.000 0.000 8.292" Properties=species:S:1:pos:R:3 pbc="T T T"
Ac 0.000 0.000 0.000
Ac 0.000 4.146 4.146
Ac 4.146 0.000 4.146
Ac 4.146 4.146 0.000
Ce 0.000 0.000 4.146
Ce 0.000 4.146 0.000
Ce 4.146 0.000 0.000
Ce 4.146 4.146 4.146
Sm 2.073 2.073 2.073
Sm 2.073 6.219 6.219
Sm 6.219 2.073 6.219
Sm 6.219 6.219 2.073
Dy 2.073 2.073 6.219
Dy 2.073 6.219 2.073
Dy 6.219 2.073 2.073
Dy 6.219 6.219 6.219
```

## Properties
Energy (eV per atom): -4.636
Calculated formation energy (eV/f.u.): 0.820
Space-group type: No. 216

AcCeDySn | PBE | optimized geometry

```
16
Lattice="7.889 0.000 0.000 0.000 7.889 0.000 0.000 0.000 7.889" Properties=species:S:1:pos:R:3 pbc="T T T"
Ac 0.000 0.000 0.000
Ac 0.000 3.944 3.944
Ac 3.944 0.000 3.944
Ac 3.944 3.944 0.000
Ce 1.972 1.972 1.972
Ce 1.972 5.916 5.916
Ce 5.916 1.972 5.916
Ce 5.916 5.916 1.972
Dy 1.972 1.972 5.916
Dy 1.972 5.916 1.972
Dy 5.916 1.972 1.972
Dy 5.916 5.916 5.916
Sn 0.000 0.000 3.944
Sn 0.000 3.944 0.000
Sn 3.944 0.000 0.000
Sn 3.944 3.944 3.944
```

## Properties
Energy (eV per atom): -4.793
Calculated formation energy (eV/f.u.): -0.525
Space-group type: No. 216

AcTbCeDy | PBE | optimized geometry

```
16
Lattice="8.249 0.000 0.000 0.000 8.249 0.000 0.000 0.000 8.249" Properties=species:S:1:pos:R:3 pbc="T T T"
Ac 0.000 0.000 0.000
Ac 0.000 4.125 4.125
Ac 4.125 0.000 4.125
Ac 4.125 4.125 0.000
Tb 2.062 2.062 6.187
Tb 2.062 6.187 2.062
Tb 6.187 2.062 2.062
Tb 6.187 6.187 6.187
Ce 0.000 0.000 4.125
Ce 0.000 4.125 0.000
Ce 4.125 0.000 0.000
Ce 4.125 4.125 4.125
Dy 2.062 2.062 2.062
Dy 2.062 6.187 6.187
Dy 6.187 2.062 6.187
Dy 6.187 6.187 2.062
```

## Properties
Energy (eV per atom): -4.626
Calculated formation energy (eV/f.u.): 0.770
Space-group type: No. 216

Ac2CeDy3Te6 | PBE | optimized geometry

```
12
Lattice="9.932 -2.210 0.000 9.932 2.210 0.000 -2.530 0.000 8.840" Properties=species:S:1:pos:R:3 pbc="T T T"
Ac 2.436 0.000 2.935
Ac 14.899 0.000 5.905
Ce 9.932 0.000 0.000
Dy 1.255 0.000 7.409
Dy 8.667 0.000 4.420
Dy 16.079 0.000 1.431
Te -1.732 0.000 6.587
Te 4.232 0.000 8.243
Te 5.717 0.000 3.536
Te 11.617 0.000 5.304
Te 13.102 0.000 0.597
Te 19.066 0.000 2.253
```

## Properties
Energy (eV per atom): -5.261
Formation energy without anion corrections (eV/atom): -1.36
Space-group type: No. 12

Ac2Ce3DyTe6 | PBE | optimized geometry

```
12
Lattice="3.930 -6.815 0.000 3.930 6.815 0.000 -2.635 0.000 7.484" Properties=species:S:1:pos:R:3 pbc="T T T"
Ac 3.930 4.570 0.000
Ac 3.930 -4.570 0.000
Ce -1.317 0.000 3.742
Ce 2.613 2.390 3.742
Ce 2.613 -2.390 3.742
Dy 3.930 0.000 0.000
Te 0.058 2.168 5.595
Te 1.441 0.000 1.959
Te 0.058 -2.168 5.595
Te 5.167 2.168 1.889
Te 3.785 0.000 5.526
Te 5.167 -2.168 1.889
```

## Properties
Energy (eV per atom): -5.503
Formation energy without anion corrections (eV/atom): -1.38
Space-group type: No. 12

| no. | calculated density (Mg/m³) |
| --- | --- |
| 1 | 7.2 |
| 2 | 7.9 |
| 3 | 7.9 |
| 4 | 6.1 |
| 5 | 7.8 |
| 6 | 7.6 |
| 7 | 7.7 |
| 8 | 7.9 |
| 9 | 8.8 |
| 10 | 8.1 |
| 11 | 7.9 |
| 12 | 7.5 |